# PBEsol HoTe, relaxed
data_HoTe
_space_group_name_H-M_alt 'F m -3 m'
_space_group_IT_number 225
_space_group_name_Hall '-F 4 2 3'
_cell_length_a 6.0339
_cell_length_b 6.0339
_cell_length_c 6.0339
_cell_angle_alpha 90.00
_cell_angle_beta 90.00
_cell_angle_gamma 90.00
loop_
_atom_site_label
_atom_site_fract_x
_atom_site_fract_y
_atom_site_fract_z
_atom_site_occupancy
Ho1 0.0000 0.0000 0.0000 1
Te1 0.0000 0.0000 0.5000 1
# **Total energy**: -5.5319 eV per atom
# **Total magnetic moment**: 0.00 μB per formula unit
# **Formation energy from raw total energies**: -2.59 eV/f.u.
# **Volume**: 219.69 Å³ per cell

***

# PBEsol Ho2Te5, relaxed
data_Ho2Te5
_space_group_name_H-M_alt 'C m c m'
_space_group_IT_number 63
_space_group_name_Hall '-C 2c 2'
_cell_length_a 4.3020
_cell_length_b 42.8908
_cell_length_c 4.3033
_cell_angle_alpha 90.00
_cell_angle_beta 90.00
_cell_angle_gamma 90.00
loop_
_atom_site_label
_atom_site_fract_x
_atom_site_fract_y
_atom_site_fract_z
_atom_site_occupancy
Ho1 0.0000 0.0995 0.2500 1
Ho2 0.0000 0.3066 0.2500 1
Te1 0.0000 0.0436 0.7500 1
Te2 0.0000 0.1733 0.2500 1
Te3 0.0000 0.2500 0.7500 1
Te4 0.0000 0.3786 0.2500 1
Te5 0.0000 0.4564 0.7500 1
# **Total energy**: -4.9672 eV per atom
# **Total magnetic moment**: 0.00 μB per formula unit
# **Formation energy from raw total energies**: -7.24 eV/f.u.
# **Volume**: 794.03 Å³ per cell

***

# PBEsol HoTlTe2, relaxed
data_HoTlTe2
_space_group_name_H-M_alt 'R -3 m'
_space_group_IT_number 166
_space_group_name_Hall '-R 3 2"'
_cell_length_a 4.3342
_cell_length_b 4.3342
_cell_length_c 24.0160
_cell_angle_alpha 90.00
_cell_angle_beta 90.00
_cell_angle_gamma 120.00
loop_
_atom_site_label
_atom_site_fract_x
_atom_site_fract_y
_atom_site_fract_z
_atom_site_occupancy
Ho1 0.0000 0.0000 0.0000 1
Tl1 0.0000 0.0000 0.5000 1
Te1 0.0000 0.0000 0.2609 1
# **Total energy**: -4.6605 eV per atom
# **Total magnetic moment**: 0.00 μB per formula unit
# **Formation energy from raw total energies**: -4.01 eV/f.u.
# **Volume**: 390.71 Å³ per cell

***

# PBEsol Ho3Tm, relaxed
data_Ho3Tm
_space_group_name_H-M_alt 'P 63/m m c'
_space_group_IT_number 194
_space_group_name_Hall '-P 6c 2c'
_cell_length_a 7.0237
_cell_length_b 7.0237
_cell_length_c 5.4711
_cell_angle_alpha 90.00
_cell_angle_beta 90.00
_cell_angle_gamma 120.00
loop_
_atom_site_label
_atom_site_fract_x
_atom_site_fract_y
_atom_site_fract_z
_atom_site_occupancy
Ho1 0.1668 0.3337 0.2500 1
Tm1 0.3333 0.6667 0.7500 1
# **Total energy**: -4.9291 eV per atom
# **Total magnetic moment**: 0.00 μB per formula unit
# **Volume**: 233.76 Å³ per cell

***

# PBEsol HoTm3, relaxed
data_HoTm3
_space_group_name_H-M_alt 'P 63/m m c'
_space_group_IT_number 194
_space_group_name_Hall '-P 6c 2c'
_cell_length_a 7.0001
_cell_length_b 7.0001
_cell_length_c 5.4364
_cell_angle_alpha 90.00
_cell_angle_beta 90.00
_cell_angle_gamma 120.00
loop_
_atom_site_label
_atom_site_fract_x
_atom_site_fract_y
_atom_site_fract_z
_atom_site_occupancy
Ho1 0.3333 0.6667 0.2500 1
Tm1 0.1664 0.3328 0.7500 1
# **Total energy**: -4.9088 eV per atom
# **Total magnetic moment**: 0.00 μB per formula unit
# **Volume**: 230.70 Å³ per cell

***

# PBEsol YHo, relaxed
data_YHo
_space_group_name_H-M_alt 'P -6 m 2'
_space_group_IT_number 187
_space_group_name_Hall 'P -6 2'
_cell_length_a 3.5542
_cell_length_b 3.5542
_cell_length_c 5.5400
_cell_angle_alpha 90.00
_cell_angle_beta 90.00
_cell_angle_gamma 120.00
loop_
_atom_site_label
_atom_site_fract_x
_atom_site_fract_y
_atom_site_fract_z
_atom_site_occupancy
Y1 0.0000 0.0000 0.0000 1
Ho1 0.6667 0.3333 0.5000 1
# **Total energy**: -5.8767 eV per atom
# **Total magnetic moment**: 0.00 μB per formula unit
# **Volume**: 60.61 Å³ per cell

***

- Which value of volume does entry 3 give?
  390.71 Å³ per cell